# 1
Below is an optimized crystal structure of Mg2SiP, with properties calculated at the PBE level.

Total magnetic moment, μB/cell: 0.00
Raw formation energy, eV per atom: 0.09

Cell lengths 5.9265, 5.9265, 5.9265 Å; angles 103.55, 103.55, 122.11 degrees
Positions (direct):
Mg 0.0920 0.6250 0.9670
Mg 0.3750 0.3420 0.4670
Mg 0.6580 0.1250 0.0330
Mg 0.8750 0.9080 0.5330
Si 0.2500 0.7500 0.5000
Si 0.5000 0.5000 0.0000
P 0.0000 0.0000 0.0000
P 0.7500 0.2500 0.5000

=====

# 2
Below is an optimized crystal structure of Er4Al3Ru, with properties calculated at the PBE level.

Total magnetic moment, μB/cell: 0.00
Calculated formation energy, meV/atom: -439

Cell lengths 3.4961, 3.4961, 14.2640 Å; angles 90.00, 90.00, 90.00 degrees
Positions (direct):
Er 0.0000 0.0000 0.1122
Er 0.0000 0.0000 0.3706
Er 0.0000 0.0000 0.6294
Er 0.0000 0.0000 0.8878
Al 0.5000 0.5000 0.2425
Al 0.5000 0.5000 0.5000
Al 0.5000 0.5000 0.7575
Ru 0.5000 0.5000 0.0000

=====

Listing Fermi-level density of states for the structures above in their given order: 0.630, 0.422 states/eV per atom.